[1]
VASP calculation (PBE) on LiAc2Hg10 after structural relaxation.

- Formation energy from the elements: -0.10 eV/atom
- Fermi-level density of states: 14.9 states/eV/cell
- Mass density: 9.90 Mg/m³
- Total DFT energy (no corrections): -14.49 eV/f.u.
- Crystal system: orthorhombic

Lattice parameters (Å, degrees): 5.835 13.284 10.679 90.00 90.00 90.00
Positions (direct):
Li 0.000 0.500 0.500
Li 0.000 0.000 0.000
Hg 0.000 0.687 0.693
Hg 0.254 0.824 0.927
Hg 0.254 0.176 0.073
Hg 0.746 0.324 0.573
Hg 0.000 0.187 0.807
Hg 0.254 0.324 0.573
Hg 0.000 0.813 0.193
Hg 0.746 0.176 0.073
Hg 0.000 0.968 0.741
Hg 0.746 0.676 0.427
Hg 0.000 0.386 0.029
Hg 0.000 0.886 0.471
Hg 0.000 0.114 0.529
Hg 0.000 0.032 0.259
Hg 0.000 0.313 0.307
Hg 0.254 0.676 0.427
Hg 0.000 0.468 0.759
Hg 0.000 0.532 0.241
Hg 0.000 0.614 0.971
Hg 0.746 0.824 0.927
Ac 0.500 0.838 0.637
Ac 0.500 0.162 0.363
Ac 0.500 0.338 0.863
Ac 0.500 0.662 0.137


[2]
VASP calculation (PBE) on Co2HgRu after structural relaxation.

- Formation energy from the elements: 0.48 eV/atom
- Fermi-level density of states: 4.2 states/eV/cell
- Mass density: 12.11 Mg/m³
- Total DFT energy (no corrections): -21.87 eV/f.u.
- Crystal system: tetragonal

Lattice parameters (Å, degrees): 3.965 3.965 3.659 90.00 90.00 90.00
Last column: magnetic moment on the atom in μB.
Positions (direct):
Ru 0.000 0.500 0.500  1.47
Co 0.500 0.500 0.000  1.91
Co 0.000 0.000 0.000  1.91
Hg 0.500 0.000 0.500  0.00


[3]
VASP calculation (PBE) on NaGa2Mo after structural relaxation.

- Formation energy from the elements: 0.69 eV/atom
- Energy above the most stable polymorph in this dataset: 346.2 meV per atom
- Fermi-level density of states: 2.3 states/eV/cell
- Mass density: 5.01 Mg/m³
- Total DFT energy (no corrections): -15.45 eV/f.u.
- Crystal system: tetragonal

Lattice parameters (Å, degrees): 4.361 4.361 9.516 76.75 76.75 90.00
Last column: magnetic moment on the atom in μB.
Positions (direct):
Mo 0.000 0.000 0.000  0.89
Mo 0.750 0.250 0.500  0.89
Na 0.250 0.750 0.500  0.00
Na 0.500 0.500 0.000  0.01
Ga 0.043 0.625 0.250  -0.03
Ga 0.707 0.125 0.250  -0.03
Ga 0.375 0.293 0.750  -0.03
Ga 0.875 0.957 0.750  -0.04


[4]
VASP calculation (PBE) on AsOs after structural relaxation.

- Formation energy from the elements: 0.51 eV/atom
- Fermi-level density of states: 1.5 states/eV/cell
- Mass density: 14.34 Mg/m³
- Total DFT energy (no corrections): -14.86 eV/f.u.
- Crystal system: hexagonal

Lattice parameters (Å, degrees): 3.049 3.049 3.813 90.00 90.00 120.00
Positions (direct):
As 0.000 0.000 0.000
Os 0.667 0.333 0.500


[5]
VASP calculation (PBE) on LiCa2CeTe4 after structural relaxation.

- Fermi-level density of states: 8.0 states/eV/cell
- Mass density: 4.79 Mg/m³
- Total DFT energy (no corrections): -35.74 eV/f.u.
- Crystal system: monoclinic

Lattice parameters (Å, degrees): 4.509 7.717 7.768 108.99 90.00 90.00
Last column: magnetic moment on the atom in μB.
Positions (direct):
Te 0.500 0.246 0.245  -0.01
Te 0.000 0.755 0.246  -0.01
Te 0.500 0.754 0.755  -0.01
Te 0.000 0.245 0.754  -0.01
Ca 0.500 0.000 0.500  0.00
Ca 0.000 0.500 0.500  0.00
Li 0.000 0.000 0.000  0.00
Ce 0.500 0.500 0.000  0.95


[6]
VASP calculation (PBE) on Sr3Ti after structural relaxation.

- Formation energy from the elements: 0.52 eV/atom
- Fermi-level density of states: 8.6 states/eV/cell
- Mass density: 3.08 Mg/m³
- Total DFT energy (no corrections): -10.86 eV/f.u.
- Crystal system: tetragonal

Lattice parameters (Å, degrees): 6.749 6.749 6.749 131.80 131.80 70.55
Last column: magnetic moment on the atom in μB.
Positions (direct):
Sr 0.500 0.500 0.000  0.05
Sr 0.750 0.250 0.500  0.06
Sr 0.250 0.750 0.500  0.06
Ti 0.000 0.000 0.000  1.85